Entry 1:
## Pr2NiIr2 (PBE-GGA)

Data for Pr2NiIr2 after structural relaxation.

abc: 5.564 5.564 8.091
angles: 102.23 102.23 60.38
Fractional positions:
Pr: 0.023 0.280 0.154
Pr: 0.280 0.023 0.654
Pr: 0.720 0.977 0.346
Pr: 0.977 0.720 0.846
Ni: 0.366 0.634 0.250
Ni: 0.634 0.366 0.750
Ir: 0.248 0.496 0.491
Ir: 0.496 0.248 0.991
Ir: 0.504 0.752 0.009
Ir: 0.752 0.504 0.509

Results
**V**: 21.1 Å³ per atom
**Spin magnetization**: 0.00 μB per cell
**DOS(E_F)**: 10.89 states/eV per cell
**E_form**: -46.1 kJ/mol of atoms
**Energy**: -7.090 eV/atom

---

Entry 2:
## CeFeBr6 (PBE-GGA)

Data for CeFeBr6 after structural relaxation.

abc: 7.264 12.467 6.651
angles: 90.00 91.16 90.00
Fractional positions:
Ce: 0.000 0.000 0.000
Ce: 0.500 0.500 0.000
Fe: 0.000 0.000 0.500
Fe: 0.500 0.500 0.500
Br: 0.148 0.149 0.728
Br: 0.148 0.851 0.728
Br: 0.205 0.500 0.719
Br: 0.295 0.000 0.281
Br: 0.352 0.351 0.272
Br: 0.352 0.649 0.272
Br: 0.648 0.351 0.728
Br: 0.648 0.649 0.728
Br: 0.705 0.000 0.719
Br: 0.795 0.500 0.281
Br: 0.852 0.149 0.272
Br: 0.852 0.851 0.272

Results
**V**: 37.6 Å³ per atom
**Spin magnetization**: 8.32 μB per cell
**DOS(E_F)**: 5.09 states/eV per cell
**E_form (uncorrected)**: -9.3 eV per formula unit
**Energy**: -4.211 eV/atom

---

Entry 3:
## BeTl3Br (PBE-GGA)

Data for BeTl3Br after structural relaxation.

abc: 5.183 5.183 5.183
angles: 90.00 90.00 90.00
Fractional positions:
Be: 0.000 0.000 0.000
Tl: 0.000 0.000 0.500
Tl: 0.000 0.500 0.000
Tl: 0.500 0.000 0.000
Br: 0.500 0.500 0.500

Results
**V**: 27.8 Å³ per atom
**Spin magnetization**: 0.00 μB per cell
**DOS(E_F)**: 1.85 states/eV per cell
**E_form (uncorrected)**: -0.1 eV per formula unit
**Energy**: -2.512 eV/atom
**Distance to the lowest polymorph of the same formula**: 0.000 eV per formula unit